Entry 1:
Material: NiSbPdN2
Method: DFT, PBE
State: relaxed

The uncorrected formation energy is 1.52 eV per atom. As for the size of the total moment: 0.0 μB/f.u.

The structure belongs to space group P4/mmm (No. 123); the cell edges are 3.7914, 3.7914 and 5.8739 Å and the angles 90.00°, 90.00° and 90.00°. The inequivalent atoms are Ni at (0.0000, 0.0000, 0.0000), Sb at (0.5000, 0.5000, 0.0000), Pd at (0.5000, 0.5000, 0.5000) and N at (0.0000, 0.5000, 0.5000).

Entry 2:
Material: ScNiPdN2
Method: DFT, PBE
State: relaxed

The uncorrected formation energy is 0.92 eV per atom. As for the size of the total moment: 1.9 μB/f.u.

The structure belongs to space group P4/mmm (No. 123); the cell edges are 3.7281, 3.7281 and 4.9480 Å and the angles 90.00°, 90.00° and 90.00°. The inequivalent atoms are Sc at (0.0000, 0.0000, 0.0000), Ni at (0.0000, 0.0000, 0.5000), Pd at (0.5000, 0.5000, 0.0000) and N at (0.0000, 0.5000, 0.5000).

Entry 3:
Material: TaNi2PdN
Method: DFT, PBE
State: relaxed

The uncorrected formation energy is -0.32 eV per atom. As for the size of the total moment: 0.0 μB/f.u.

The structure belongs to space group P4/mmm (No. 123); the cell edges are 3.8845, 3.8845 and 4.1050 Å and the angles 90.00°, 90.00° and 90.00°. The inequivalent atoms are Ta at (0.0000, 0.0000, 0.0000), Ni at (0.0000, 0.5000, 0.5000), Pd at (0.5000, 0.5000, 0.0000) and N at (0.0000, 0.0000, 0.5000).

Entry 4:
Material: Ta2NiPdN
Method: DFT, PBE
State: relaxed

The uncorrected formation energy is -0.25 eV per atom. As for the size of the total moment: 0.0 μB/f.u.

The structure belongs to space group P4/mmm (No. 123); the cell edges are 4.1449, 4.1449 and 4.1505 Å and the angles 90.00°, 90.00° and 90.00°. The inequivalent atoms are Ta at (0.0000, 0.5000, 0.0000), Ni at (0.0000, 0.0000, 0.5000), Pd at (0.5000, 0.5000, 0.5000) and N at (0.5000, 0.5000, 0.0000).

Entry 5:
Material: Tc2NiPdN
Method: DFT, PBE
State: relaxed

The uncorrected formation energy is 0.08 eV per atom. As for the size of the total moment: 0.0 μB/f.u.

The structure belongs to space group P4/mmm (No. 123); the cell edges are 4.0051, 4.0051 and 3.9185 Å and the angles 90.00°, 90.00° and 90.00°. The inequivalent atoms are Tc at (0.0000, 0.5000, 0.0000), Ni at (0.0000, 0.0000, 0.5000), Pd at (0.5000, 0.5000, 0.5000) and N at (0.0000, 0.0000, 0.0000).

Entry 6:
Material: Tc2NiPdN
Method: DFT, PBE
State: relaxed

The uncorrected formation energy is 2.39 eV per atom. As for the size of the total moment: 3.3 μB/f.u.

The structure belongs to space group P4/mmm (No. 123); the cell edges are 4.4581, 4.4581 and 4.5435 Å and the angles 90.00°, 90.00° and 90.00°. The inequivalent atoms are Tc at (0.0000, 0.5000, 0.0000), Ni at (0.0000, 0.0000, 0.0000), Pd at (0.0000, 0.0000, 0.5000) and N at (0.5000, 0.5000, 0.5000).

Entry 7:
Material: TiNi2PdN
Method: DFT, PBE
State: relaxed

The uncorrected formation energy is -0.49 eV per atom. As for the size of the total moment: 0.0 μB/f.u.

The structure belongs to space group P4/mmm (No. 123); the cell edges are 3.8291, 3.8291 and 4.0256 Å and the angles 90.00°, 90.00° and 90.00°. The inequivalent atoms are Ti at (0.0000, 0.0000, 0.0000), Ni at (0.0000, 0.5000, 0.5000), Pd at (0.5000, 0.5000, 0.0000) and N at (0.0000, 0.0000, 0.5000).

Entry 8:
Material: Ti2NiPdN
Method: DFT, PBE
State: relaxed

The uncorrected formation energy is -0.82 eV per atom. As for the size of the total moment: 0.0 μB/f.u.

The structure belongs to space group P4/mmm (No. 123); the cell edges are 4.1029, 4.1029 and 3.7968 Å and the angles 90.00°, 90.00° and 90.00°. The inequivalent atoms are Ti at (0.0000, 0.5000, 0.0000), Ni at (0.0000, 0.0000, 0.5000), Pd at (0.5000, 0.5000, 0.5000) and N at (0.0000, 0.0000, 0.0000).